# ScZn2Co, PBEsol geometry, DFT SCAN
data_ScZn2Co
_chemical_formula_sum 'Sc1 Zn2 Co1'
_cell_length_a 2.816
_cell_length_b 2.816
_cell_length_c 8.782
_cell_angle_alpha 80.77
_cell_angle_beta 80.77
_cell_angle_gamma 60.00
_symmetry_space_group_name_H-M 'P 1'
_symmetry_Int_Tables_number 1
loop_
_symmetry_equiv_pos_as_xyz
'x,y,z'
loop_
_atom_site_label
_atom_site_type_symbol
_atom_site_fract_x
_atom_site_fract_y
_atom_site_fract_z
Co1 Co 0.500 0.500 0.500
Sc1 Sc 0.000 0.000 0.000
Zn1 Zn 0.239 0.239 0.282
Zn2 Zn 0.761 0.761 0.718
# * total magnetic moment: 1.62 μB/cell
# * ρ: 6.58 Mg/m³
# * space-group type: R-3m, No. 166
# * formation enthalpy at 0 K: 122 meV/atom